Density functional theory data (PBE) for a geometry-optimized Hf2ZrB structure.

CIF file:
```
data_Hf2ZrB
_symmetry_space_group_name_H-M 'P 1'
_symmetry_Int_Tables_number 1
_symmetry_space_group_name_Hall 'P 1'
_cell_length_a 4.648
_cell_length_b 4.648
_cell_length_c 4.648
_cell_angle_alpha 60.00
_cell_angle_beta 60.00
_cell_angle_gamma 60.00
loop_
_atom_site_label
_atom_site_type_symbol
_atom_site_fract_x
_atom_site_fract_y
_atom_site_fract_z
Hf1 Hf 0.000 0.000 0.000
Hf2 Hf 0.250 0.250 0.250
Zr1 Zr 0.750 0.750 0.750
B1 B 0.500 0.500 0.500
```

Output
Its space group is F-43m, No. 216. The value obtained for the energy is -8.23 eV/atom. For the total magnetization, the calculation gives 0.1 μB/f.u.

***

Density functional theory data (PBE) for a geometry-optimized HfZrB structure.

CIF file:
```
data_HfZrB
_symmetry_space_group_name_H-M 'P 1'
_symmetry_Int_Tables_number 1
_symmetry_space_group_name_Hall 'P 1'
_cell_length_a 4.391
_cell_length_b 4.391
_cell_length_c 4.391
_cell_angle_alpha 60.00
_cell_angle_beta 60.00
_cell_angle_gamma 60.00
loop_
_atom_site_label
_atom_site_type_symbol
_atom_site_fract_x
_atom_site_fract_y
_atom_site_fract_z
Hf1 Hf 0.000 0.000 0.000
Zr1 Zr 0.250 0.250 0.250
B1 B 0.750 0.750 0.750
```

Output
Its space group is F-43m, No. 216. For the energy relative to the lowest polymorph listed for this composition, the calculation gives 0.0 meV/atom. For the total magnetization, the calculation gives 2.5 μB/f.u.

***

Density functional theory data (PBE) for a geometry-optimized Hg2B structure.

CIF file:
```
data_Hg2B
_symmetry_space_group_name_H-M 'P 1'
_symmetry_Int_Tables_number 1
_symmetry_space_group_name_Hall 'P 1'
_cell_length_a 7.175
_cell_length_b 7.175
_cell_length_c 7.175
_cell_angle_alpha 60.00
_cell_angle_beta 60.00
_cell_angle_gamma 60.00
loop_
_atom_site_label
_atom_site_type_symbol
_atom_site_fract_x
_atom_site_fract_y
_atom_site_fract_z
Hg1 Hg 0.000 0.000 0.000
Hg2 Hg 0.000 0.000 0.500
Hg3 Hg 0.000 0.500 0.000
Hg4 Hg 0.500 0.000 0.000
B1 B 0.125 0.125 0.125
B2 B 0.875 0.875 0.875
```

Output
Its space group is Fd-3m, No. 227. For the energy relative to the lowest polymorph listed for this composition, the calculation gives 0.0 meV/atom.

***

Density functional theory data (PBE) for a geometry-optimized Hg2B structure.

CIF file:
```
data_Hg2B
_symmetry_space_group_name_H-M 'P 1'
_symmetry_Int_Tables_number 1
_symmetry_space_group_name_Hall 'P 1'
_cell_length_a 5.782
_cell_length_b 5.782
_cell_length_c 5.782
_cell_angle_alpha 60.00
_cell_angle_beta 60.00
_cell_angle_gamma 60.00
loop_
_atom_site_label
_atom_site_type_symbol
_atom_site_fract_x
_atom_site_fract_y
_atom_site_fract_z
Hg1 Hg 0.000 0.000 0.000
Hg2 Hg 0.000 0.000 0.500
Hg3 Hg 0.000 0.500 0.000
Hg4 Hg 0.500 0.000 0.000
B1 B 0.375 0.375 0.375
B2 B 0.625 0.625 0.625
```

Output
Its space group is Fd-3m, No. 227. For the energy relative to the lowest polymorph listed for this composition, the calculation gives 917.0 meV/atom.

***

Density functional theory data (PBE) for a geometry-optimized HgB2 structure.

CIF file:
```
data_HgB2
_symmetry_space_group_name_H-M 'P 1'
_symmetry_Int_Tables_number 1
_symmetry_space_group_name_Hall 'P 1'
_cell_length_a 6.877
_cell_length_b 6.877
_cell_length_c 6.877
_cell_angle_alpha 60.00
_cell_angle_beta 60.00
_cell_angle_gamma 60.00
loop_
_atom_site_label
_atom_site_type_symbol
_atom_site_fract_x
_atom_site_fract_y
_atom_site_fract_z
Hg1 Hg 0.125 0.125 0.125
Hg2 Hg 0.875 0.875 0.875
B1 B 0.000 0.000 0.000
B2 B 0.000 0.000 0.500
B3 B 0.000 0.500 0.000
B4 B 0.500 0.000 0.000
```

Output
Its space group is Fd-3m, No. 227. For the energy relative to the lowest polymorph listed for this composition, the calculation gives 386.4 meV/atom.

***

Density functional theory data (PBE) for a geometry-optimized HgB2 structure.

CIF file:
```
data_HgB2
_symmetry_space_group_name_H-M 'P 1'
_symmetry_Int_Tables_number 1
_symmetry_space_group_name_Hall 'P 1'
_cell_length_a 4.744
_cell_length_b 4.744
_cell_length_c 4.744
_cell_angle_alpha 60.00
_cell_angle_beta 60.00
_cell_angle_gamma 60.00
loop_
_atom_site_label
_atom_site_type_symbol
_atom_site_fract_x
_atom_site_fract_y
_atom_site_fract_z
Hg1 Hg 0.125 0.125 0.125
Hg2 Hg 0.875 0.875 0.875
B1 B 0.000 0.500 0.500
B2 B 0.500 0.000 0.500
B3 B 0.500 0.500 0.000
B4 B 0.500 0.500 0.500
```

Output
Its space group is Fd-3m, No. 227. For the energy relative to the lowest polymorph listed for this composition, the calculation gives 0.0 meV/atom.